# PBE-GGA ZrGaH, optimized geometry
data_ZrGaH
_chemical_formula_sum 'Zr2 Ga2 H2'
_space_group_name_H-M_alt 'P 1'
_space_group_IT_number 1
_cell_length_a 3.3230
_cell_length_b 3.3205
_cell_length_c 7.7044
_cell_angle_alpha 90.00
_cell_angle_beta 90.00
_cell_angle_gamma 101.58
loop_
_space_group_symop_operation_xyz
'x,y,z'
loop_
_atom_site_label
_atom_site_fract_x
_atom_site_fract_y
_atom_site_fract_z
Ga1 0.6102 0.8726 0.4612
Ga2 0.1103 0.3726 0.6515
Zr1 0.1102 0.3726 0.2260
Zr2 0.6103 0.8727 0.8866
H1 0.1104 0.8725 0.0563
H2 0.6102 0.3727 0.0564
# Relative energy among the computed polymorphs = 128.8 meV per atom
# Total moment = 0.0000 μB/atom



# PBE-GGA Tc2NiRuN, optimized geometry
data_Tc2NiRuN
_chemical_formula_sum 'Tc2 Ni1 Ru1 N1'
_space_group_name_H-M_alt 'P 1'
_space_group_IT_number 1
_cell_length_a 3.9935
_cell_length_b 3.9935
_cell_length_c 3.8875
_cell_angle_alpha 90.00
_cell_angle_beta 90.00
_cell_angle_gamma 90.00
loop_
_space_group_symop_operation_xyz
'x,y,z'
loop_
_atom_site_label
_atom_site_fract_x
_atom_site_fract_y
_atom_site_fract_z
Ni1 0.0000 0.0000 0.5000
Tc1 0.0000 0.5000 0.0000
Tc2 0.5000 0.0000 0.0000
N1 0.0000 0.0000 0.0000
Ru1 0.5000 0.5000 0.5000
# Energy relative to the elements, uncorrected = 21.0 kJ/mol of atoms
# Total moment = 0.2107 μB/atom



# PBE-GGA AcPmGdY, optimized geometry
data_AcPmGdY
_chemical_formula_sum 'Ac1 Pm1 Gd1 Y1'
_space_group_name_H-M_alt 'P 1'
_space_group_IT_number 1
_cell_length_a 5.8846
_cell_length_b 5.8846
_cell_length_c 5.8846
_cell_angle_alpha 60.00
_cell_angle_beta 60.00
_cell_angle_gamma 60.00
loop_
_space_group_symop_operation_xyz
'x,y,z'
loop_
_atom_site_label
_atom_site_fract_x
_atom_site_fract_y
_atom_site_fract_z
Y1 0.7500 0.7500 0.7500
Pm1 0.5000 0.5000 0.5000
Gd1 0.2500 0.2500 0.2500
Ac1 0.0000 0.0000 0.0000
# Total moment = 1.9625 μB/atom



# PBE-GGA CdIr2, optimized geometry
data_CdIr2
_chemical_formula_sum 'Cd2 Ir4'
_space_group_name_H-M_alt 'P 1'
_space_group_IT_number 1
_cell_length_a 8.1151
_cell_length_b 8.1151
_cell_length_c 8.1151
_cell_angle_alpha 151.99
_cell_angle_beta 151.99
_cell_angle_gamma 40.03
loop_
_space_group_symop_operation_xyz
'x,y,z'
loop_
_atom_site_label
_atom_site_fract_x
_atom_site_fract_y
_atom_site_fract_z
Ir1 0.4219 0.4219 0.0000
Ir2 0.1719 0.6719 0.5000
Ir3 0.3281 0.8281 0.5000
Ir4 0.5781 0.5781 0.0000
Cd1 0.0000 0.0000 0.0000
Cd2 0.7500 0.2500 0.5000
# Total moment = 0.0000 μB/atom



# PBE-GGA AgPbIO2, optimized geometry
data_AgPbIO2
_chemical_formula_sum 'Ag1 Pb1 I1 O2'
_space_group_name_H-M_alt 'P 1'
_space_group_IT_number 1
_cell_length_a 4.4067
_cell_length_b 4.4067
_cell_length_c 5.3872
_cell_angle_alpha 90.00
_cell_angle_beta 90.00
_cell_angle_gamma 90.00
loop_
_space_group_symop_operation_xyz
'x,y,z'
loop_
_atom_site_label
_atom_site_fract_x
_atom_site_fract_y
_atom_site_fract_z
Pb1 0.5000 0.5000 0.5000
I1 0.0000 0.0000 0.5000
O1 0.0000 0.5000 0.0000
O2 0.5000 0.0000 0.0000
Ag1 0.0000 0.0000 0.0000
# Energy relative to the elements, uncorrected = 22.1 kJ/mol of atoms
# Relative energy among the computed polymorphs = 385.7 meV per atom
# Total moment = 0.1048 μB/atom



# PBE-GGA TbDy5Er7, optimized geometry
data_TbDy5Er7
_chemical_formula_sum 'Tb1 Dy5 Er7'
_space_group_name_H-M_alt 'P 1'
_space_group_IT_number 1
_cell_length_a 6.6247
_cell_length_b 8.6001
_cell_length_c 8.6001
_cell_angle_alpha 79.66
_cell_angle_beta 67.35
_cell_angle_gamma 67.35
loop_
_space_group_symop_operation_xyz
'x,y,z'
loop_
_atom_site_label
_atom_site_fract_x
_atom_site_fract_y
_atom_site_fract_z
Er1 0.2313 0.2687 0.2687
Er2 0.9818 0.6875 0.3490
Er3 0.9818 0.3490 0.6875
Er4 0.4236 0.5764 0.5764
Er5 0.7291 0.2709 0.2709
Er6 0.4805 0.8494 0.1896
Er7 0.4805 0.1896 0.8494
Dy1 0.9996 0.9953 0.5418
Dy2 0.7309 0.7691 0.7691
Dy3 0.4633 0.9953 0.5418
Dy4 0.4633 0.5418 0.9953
Dy5 0.9996 0.5418 0.9953
Tb1 0.0347 0.9653 0.9653
# Relative energy among the computed polymorphs = 2.4 meV per atom
# Total moment = 0.0000 μB/atom



# PBE-GGA SrTcO3, optimized geometry
data_SrTcO3
_chemical_formula_sum 'Sr1 Tc1 O3'
_space_group_name_H-M_alt 'P 1'
_space_group_IT_number 1
_cell_length_a 3.6347
_cell_length_b 5.5670
_cell_length_c 5.5670
_cell_angle_alpha 108.57
_cell_angle_beta 90.00
_cell_angle_gamma 90.00
loop_
_space_group_symop_operation_xyz
'x,y,z'
loop_
_atom_site_label
_atom_site_fract_x
_atom_site_fract_y
_atom_site_fract_z
O1 0.0000 0.1534 0.8466
O2 0.5000 0.7303 0.7490
O3 0.5000 0.2510 0.2697
Sr1 0.0000 0.4248 0.5752
Tc1 0.5000 0.0686 0.9314
# Energy relative to the elements, uncorrected = -171.7 kJ/mol of atoms
# Total moment = 0.2610 μB/atom



# PBE-GGA CaMn4Ni, optimized geometry
data_CaMn4Ni
_chemical_formula_sum 'Ca1 Mn4 Ni1'
_space_group_name_H-M_alt 'P 1'
_space_group_IT_number 1
_cell_length_a 4.9350
_cell_length_b 4.9350
_cell_length_c 4.9350
_cell_angle_alpha 60.00
_cell_angle_beta 60.00
_cell_angle_gamma 60.00
loop_
_space_group_symop_operation_xyz
'x,y,z'
loop_
_atom_site_label
_atom_site_fract_x
_atom_site_fract_y
_atom_site_fract_z
Mn1 0.3749 0.3749 0.3749
Mn2 0.8752 0.3749 0.3749
Mn3 0.3749 0.3749 0.8752
Mn4 0.3749 0.8752 0.3749
Ca1 0.0000 0.0000 0.0000
Ni1 0.7500 0.7500 0.7500
# Total moment = 1.3696 μB/atom



# PBE-GGA TbY8Cd2, optimized geometry
data_TbY8Cd2
_chemical_formula_sum 'Tb1 Y8 Cd2'
_space_group_name_H-M_alt 'P 1'
_space_group_IT_number 1
_cell_length_a 5.6067
_cell_length_b 8.7199
_cell_length_c 8.7199
_cell_angle_alpha 118.83
_cell_angle_beta 100.91
_cell_angle_gamma 100.91
loop_
_space_group_symop_operation_xyz
'x,y,z'
loop_
_atom_site_label
_atom_site_fract_x
_atom_site_fract_y
_atom_site_fract_z
Y1 0.2986 0.6011 0.6011
Y2 0.8884 0.6799 0.9080
Y3 0.5000 0.2221 0.7779
Y4 0.5000 0.7779 0.2221
Y5 0.1116 0.3201 0.0920
Y6 0.1116 0.0920 0.3201
Y7 0.7014 0.3989 0.3989
Y8 0.8884 0.9080 0.6799
Cd1 0.0000 0.6934 0.3066
Cd2 0.0000 0.3066 0.6934
Tb1 0.5000 0.0000 0.0000
# Total moment = 0.0001 μB/atom



# PBE-GGA PmTm2Zn, optimized geometry
data_PmTm2Zn
_chemical_formula_sum 'Pm1 Tm2 Zn1'
_space_group_name_H-M_alt 'P 1'
_space_group_IT_number 1
_cell_length_a 4.7528
_cell_length_b 4.7287
_cell_length_c 4.7287
_cell_angle_alpha 90.00
_cell_angle_beta 90.00
_cell_angle_gamma 90.00
loop_
_space_group_symop_operation_xyz
'x,y,z'
loop_
_atom_site_label
_atom_site_fract_x
_atom_site_fract_y
_atom_site_fract_z
Pm1 0.5000 0.5000 0.5000
Tm1 0.0000 0.0000 0.5000
Tm2 0.0000 0.5000 0.0000
Zn1 0.5000 0.0000 0.0000
# Relative energy among the computed polymorphs = 139.7 meV per atom
# Total moment = 0.0016 μB/atom



The records above yield N(E_F) values of 1.07, 7.45, 7.85, 3.22, 2.85, 24.80, 3.00, 8.62, 15.68, 5.48 states/eV/f.u., respectively.
The records above yield E values of -32.5, -43.0, -29.0, -34.4, -16.9, -56.2, -35.8, -41.5, -57.9, -15.1 eV per cell, respectively.